A relaxed Ti2As2Rh crystal. Source: Alexandria via LeMat-Bulk, functional PBE.

The formation energy from the elements is 0.589 eV/atom.

Geometry as CIF:
```
data_Ti2As2Rh
_chemical_formula_sum 'Ti2 As2 Rh1'
_cell_length_a 4.753
_cell_length_b 4.753
_cell_length_c 4.468
_cell_angle_alpha 90.00
_cell_angle_beta 90.00
_cell_angle_gamma 90.00
_symmetry_space_group_name_H-M 'P 4/m m m'
_symmetry_Int_Tables_number 123
_symmetry_space_group_name_Hall '-P 4 2'
loop_
_atom_site_label
_atom_site_type_symbol
_atom_site_fract_x
_atom_site_fract_y
_atom_site_fract_z
_atom_site_occupancy
Ti1 Ti 0.000 0.000 0.000 1
Ti2 Ti 0.000 0.000 0.500 1
As1 As 0.000 0.500 0.000 1
Rh1 Rh 0.500 0.500 0.500 1
```